The following is a DFT calculation (PBE) of an optimized crystal structure of CrPdS3.

Cell lengths 6.3774, 6.3774, 8.7809 Å; angles 90.00, 90.00, 120.00 degrees
Space group R3m (No. 160, hexagonal axes)
Inequivalent atoms, fractional coordinates:
Cr1 0.0000 0.0000 0.0000
Pd1 0.0000 0.0000 0.6262
S1 0.0089 0.5045 0.4632

## Properties
ΔE_f (raw): 0.022 eV/atom
E: -5.418 eV per atom
calculated density: 4101 kg/m³

The following is a DFT calculation (PBE) of an optimized crystal structure of CrTcPd2S.

Cell lengths 4.4811, 4.4811, 4.2103 Å; angles 90.00, 90.00, 90.00 degrees
Space group P4/mmm (No. 123)
Inequivalent atoms, fractional coordinates:
Cr1 0.0000 0.0000 0.0000
Tc1 0.5000 0.5000 0.0000
Pd1 0.0000 0.5000 0.5000
S1 0.0000 0.0000 0.5000

## Properties
ΔE_f (raw): 0.621 eV/atom
E: -6.280 eV per atom
calculated density: 7756 kg/m³

The following is a DFT calculation (PBE) of an optimized crystal structure of Tl3Cr2PdS6.

Cell lengths 6.2422, 10.7696, 7.8081 Å; angles 90.00, 105.03, 90.00 degrees
Space group C2/m (No. 12)
Inequivalent atoms, fractional coordinates:
Tl1 0.0000 0.0000 0.0000
Tl2 0.0000 0.3354 0.0000
Cr1 0.0000 0.1670 0.5000
Pd1 0.0000 0.5000 0.5000
S1 0.2177 0.0000 0.6686
S2 0.2234 0.3319 0.6687

## Properties
ΔE_f (raw): -0.432 eV/atom
E: -5.124 eV per atom
calculated density: 6655 kg/m³

The following is a DFT calculation (PBE) of an optimized crystal structure of CrSb2Pd.

Cell lengths 6.8617, 6.8617, 6.8617 Å; angles 90.00, 90.00, 90.00 degrees
Space group Fm-3m (No. 225)
Inequivalent atoms, fractional coordinates:
Cr1 0.0000 0.0000 0.0000
Sb1 0.2500 0.2500 0.2500
Pd1 0.0000 0.0000 0.5000

## Properties
ΔE_f (raw): 0.091 eV/atom
E: -5.674 eV per atom
calculated density: 8264 kg/m³